Record 1
# MnRe2Se (GGA-PBE, relaxed)
# D(E_F) = 2.762 states/eV/cell
# volume = 14.44 Å³ per atom
# ΔE_f (raw) = 40 kJ per mole of atoms
data_MnRe2Se
_symmetry_space_group_name_H-M 'P 1'
_symmetry_Int_Tables_number 1
_cell_length_a 8.428
_cell_length_b 8.428
_cell_length_c 8.428
_cell_angle_alpha 19.40
_cell_angle_beta 19.40
_cell_angle_gamma 19.40
loop_
_symmetry_equiv_pos_as_xyz
'x,y,z'
loop_
_atom_site_label
_atom_site_type_symbol
_atom_site_fract_x
_atom_site_fract_y
_atom_site_fract_z
Mn1 Mn 0.000 0.000 0.000
Re1 Re 0.253 0.253 0.253
Re2 Re 0.747 0.747 0.747
Se1 Se 0.500 0.500 0.500

=====

Record 2
# Ac4ErTm (GGA-PBE, relaxed)
# D(E_F) = 10.727 states/eV/cell
# calculated formation energy = 180 meV per atom
# volume = 40.32 Å³ per atom
data_Ac4ErTm
_symmetry_space_group_name_H-M 'P 1'
_symmetry_Int_Tables_number 1
_cell_length_a 3.715
_cell_length_b 5.741
_cell_length_c 11.342
_cell_angle_alpha 90.00
_cell_angle_beta 90.00
_cell_angle_gamma 90.00
loop_
_symmetry_equiv_pos_as_xyz
'x,y,z'
loop_
_atom_site_label
_atom_site_type_symbol
_atom_site_fract_x
_atom_site_fract_y
_atom_site_fract_z
Ac1 Ac 0.000 0.000 0.155
Ac2 Ac 0.000 0.000 0.845
Ac3 Ac 0.000 0.500 0.344
Ac4 Ac 0.000 0.500 0.656
Er1 Er 0.500 0.000 0.500
Tm1 Tm 0.500 0.500 0.000

=====

Record 3
# AsRu2W (GGA-PBE, relaxed)
# D(E_F) = 4.213 states/eV/cell
# calculated formation energy = 493 meV per atom
# volume = 15.35 Å³ per atom
data_AsRu2W
_symmetry_space_group_name_H-M 'P 1'
_symmetry_Int_Tables_number 1
_cell_length_a 2.809
_cell_length_b 2.809
_cell_length_c 8.657
_cell_angle_alpha 90.00
_cell_angle_beta 90.00
_cell_angle_gamma 115.94
loop_
_symmetry_equiv_pos_as_xyz
'x,y,z'
loop_
_atom_site_label
_atom_site_type_symbol
_atom_site_fract_x
_atom_site_fract_y
_atom_site_fract_z
As1 As 0.000 0.000 0.000
Ru1 Ru 0.000 0.000 0.491
Ru2 Ru 0.500 0.500 0.229
W1 W 0.500 0.500 0.737

=====

Record 4
# NaEuYMg (GGA-PBE, relaxed)
# D(E_F) = 8.962 states/eV/cell
# calculated formation energy = 134 meV per atom
# volume = 32.17 Å³ per atom
data_NaEuYMg
_symmetry_space_group_name_H-M 'P 1'
_symmetry_Int_Tables_number 1
_cell_length_a 5.667
_cell_length_b 5.667
_cell_length_c 5.667
_cell_angle_alpha 60.00
_cell_angle_beta 60.00
_cell_angle_gamma 60.00
loop_
_symmetry_equiv_pos_as_xyz
'x,y,z'
loop_
_atom_site_label
_atom_site_type_symbol
_atom_site_fract_x
_atom_site_fract_y
_atom_site_fract_z
Na1 Na 0.000 0.000 0.000
Eu1 Eu 0.750 0.750 0.750
Y1 Y 0.250 0.250 0.250
Mg1 Mg 0.500 0.500 0.500